The following is a DFT calculation (PBE-GGA) of a relaxed structure of Ni4IrRh2.

The space group is Cmcm (No. 63) and the conventional cell measures 4.347, 7.099 and 11.877 Å, with angles of 90.00, 90.00 and 90.00 degrees. Symmetry generates all atoms from Ni at (0.000, 0.000, 0.000), Ni at (0.000, 0.234, 0.153), Ni at (0.000, 0.454, 0.750), Ir at (0.000, 0.110, 0.750) and Rh at (0.000, 0.335, 0.554).

Its crystal system is orthorhombic. The value obtained for the uncorrected energy is -179.515 eV/cell. The magnetization comes out at 15.22 Bohr magnetons per cell. The formation energy comes out at 0.259 eV/atom.

The following is a DFT calculation (PBE-GGA) of a relaxed structure of Ni2Ir3Rh2.

The space group is Cmmm (No. 65) and the conventional cell measures 3.779, 19.036 and 2.691 Å, with angles of 90.00, 90.00 and 90.00 degrees. Symmetry generates all atoms from Ni at (0.000, 0.141, 0.000), Ir at (0.000, 0.000, 0.000), Ir at (0.000, 0.428, 0.500) and Rh at (0.000, 0.293, 0.500).

The relative energy among the computed polymorphs comes out at 0.00 eV per formula unit. Its crystal system is orthorhombic. The value obtained for the uncorrected energy is -103.942 eV/cell. The magnetization comes out at 0.00 Bohr magnetons per cell. The formation energy comes out at 0.125 eV/atom.

The following is a DFT calculation (PBE-GGA) of a relaxed structure of NiIr4Rh.

The space group is Cmc2_1 (No. 36) and the conventional cell measures 2.730, 13.982 and 8.795 Å, with angles of 90.00, 90.00 and 90.00 degrees. Symmetry generates all atoms from Ni at (0.000, 0.223, 0.000), Ir at (0.000, 0.001, 0.747), Ir at (0.000, 0.116, 0.497), Ir at (0.000, 0.333, 0.748), Ir at (0.000, 0.442, 0.497) and Rh at (0.000, 0.330, 0.249).

The relative energy among the computed polymorphs comes out at 0.14 eV per formula unit. Its crystal system is orthorhombic. The value obtained for the uncorrected energy is -193.597 eV/cell. The magnetization comes out at 0.00 Bohr magnetons per cell. The formation energy comes out at 0.030 eV/atom.

The following is a DFT calculation (PBE-GGA) of a relaxed structure of Ni2Ir5Rh12.

The space group is C2/m (No. 12) and the conventional cell measures 17.231, 6.968 and 4.779 Å, with angles of 90.00, 94.36 and 90.00 degrees. Symmetry generates all atoms from Ni at (0.000, 0.183, 0.000), Ir at (0.000, 0.500, 0.500), Ir at (0.130, 0.000, 0.937), Ir at (0.218, 0.000, 0.461), Rh at (0.065, 0.000, 0.414), Rh at (0.072, 0.500, 0.019), Rh at (0.136, 0.311, 0.620) and Rh at (0.200, 0.314, 0.146).

Its crystal system is monoclinic. The value obtained for the uncorrected energy is -274.254 eV/cell. The magnetization comes out at 0.00 Bohr magnetons per cell. The formation energy comes out at 0.366 eV/atom.

The following is a DFT calculation (PBE-GGA) of a relaxed structure of Ni2IrRh.

The space group is F-43m (No. 216) and the conventional cell measures 5.930, 5.930 and 5.930 Å, with angles of 90.00, 90.00 and 90.00 degrees. Symmetry generates all atoms from Ni at (0.000, 0.000, 0.000), Ni at (0.250, 0.250, 0.250), Ir at (0.250, 0.250, 0.750) and Rh at (0.000, 0.000, 0.500).

The relative energy among the computed polymorphs comes out at 1.01 eV per formula unit. Its crystal system is cubic. The value obtained for the uncorrected energy is -107.121 eV/cell. The magnetization comes out at 1.44 Bohr magnetons per cell. The formation energy comes out at 0.249 eV/atom.

The following is a DFT calculation (PBE-GGA) of a relaxed structure of Ni2Ir2Rh3.

The space group is P-1 (No. 2) and the conventional cell measures 4.603, 4.608 and 4.672 Å, with angles of 99.68, 99.83 and 99.62 degrees. Symmetry generates all atoms from Ni at (0.141, 0.074, 0.290), Ir at (0.285, 0.641, 0.569), Rh at (0.000, 0.500, 0.000) and Rh at (0.424, 0.207, 0.853).

The relative energy among the computed polymorphs comes out at 0.00 eV per formula unit. Its crystal system is triclinic. The value obtained for the uncorrected energy is -51.247 eV/cell. The magnetization comes out at 0.00 Bohr magnetons per cell. The formation energy comes out at 0.013 eV/atom.

The following is a DFT calculation (PBE-GGA) of a relaxed structure of Ni2IrRh6.

The space group is R3m (No. 160, hexagonal axes) and the conventional cell measures 5.2684, 5.2684 and 18.4639 Å, with angles of 90.00, 90.00 and 120.00 degrees. Symmetry generates all atoms from Ni at (0.0000, 0.0000, 0.0000), Ni at (0.0000, 0.0000, 0.2140), Ir at (0.0000, 0.0000, 0.4366), Rh at (0.1705, 0.3411, 0.5445) and Rh at (0.1710, 0.3419, 0.3320).

The relative energy among the computed polymorphs comes out at 3.27 eV per formula unit. Its crystal system is trigonal. The value obtained for the uncorrected energy is -180.420 eV/cell. The magnetization comes out at 3.44 Bohr magnetons per cell. The formation energy comes out at 0.488 eV/atom.

The following is a DFT calculation (PBE-GGA) of a relaxed structure of Ni7IrRh4.

The space group is C2/m (No. 12) and the conventional cell measures 8.899, 4.428 and 8.876 Å, with angles of 90.00, 113.30 and 90.00 degrees. Symmetry generates all atoms from Ni at (0.000, 0.000, 0.000), Ni at (0.127, 0.500, 0.474), Ni at (0.148, 0.000, 0.614), Ni at (0.212, 0.000, 0.911), Ir at (0.000, 0.500, 0.000), Rh at (0.095, 0.000, 0.302) and Rh at (0.130, 0.500, 0.768).

Its crystal system is monoclinic. The value obtained for the uncorrected energy is -147.956 eV/cell. The magnetization comes out at 14.94 Bohr magnetons per cell. The formation energy comes out at 0.396 eV/atom.

The following is a DFT calculation (PBE-GGA) of a relaxed structure of Ni2Ir2Rh.

The space group is C2/m (No. 12) and the conventional cell measures 8.296, 3.736 and 5.883 Å, with angles of 90.00, 134.08 and 90.00 degrees. Symmetry generates all atoms from Ni at (0.099, 0.000, 0.297), Ir at (0.197, 0.500, 0.100) and Rh at (0.000, 0.500, 0.500).

The relative energy among the computed polymorphs comes out at 0.00 eV per formula unit. Its crystal system is monoclinic. The value obtained for the uncorrected energy is -73.284 eV/cell. The magnetization comes out at 0.00 Bohr magnetons per cell. The formation energy comes out at -0.001 eV/atom.

The following is a DFT calculation (PBE-GGA) of a relaxed structure of Ni14IrRh.

The space group is Amm2 (No. 38) and the conventional cell measures 8.244, 5.101 and 8.723 Å, with angles of 90.00, 90.00 and 90.00 degrees. Symmetry generates all atoms from Ni at (0.000, 0.000, 0.000), Ni at (0.000, 0.000, 0.500), Ni at (0.000, 0.250, 0.250), Ni at (0.244, 0.000, 0.167), Ni at (0.244, 0.249, 0.919), Ni at (0.246, 0.000, 0.667), Ni at (0.500, 0.250, 0.086), Ir at (0.500, 0.000, 0.837) and Rh at (0.500, 0.000, 0.337).

Its crystal system is orthorhombic. The value obtained for the uncorrected energy is -193.316 eV/cell. The magnetization comes out at 20.28 Bohr magnetons per cell. The formation energy comes out at 0.031 eV/atom.